PBE-GGA Fe2AsOs, optimized geometry; DOS(E_F) = 1.05 states/eV per atom; magnetic moment = 0.43 μB per formula unit; energy of formation from the pure elements = 29 kJ per mole of atoms
1.0
4.484 -0.018 0.000
1.482 4.232 0.000
-2.983 -2.107 2.602
Os As Fe
1 1 2
direct
0.250 0.750 0.500
0.750 0.250 0.500
0.000 0.000 0.000
0.500 0.500 0.000